# 1
{"formula": "KLi3Pb", "functional": "SCAN", "state": "PBEsol geometry", "lattice_angstrom": [[5.342, 0.000, 0.000], [0.000, 5.342, 0.000], [0.000, 0.000, 5.342]], "species": ["Pb", "K", "Li", "Li", "Li"], "fractional_positions": [[0.000, 0.000, 0.000], [0.500, 0.500, 0.500], [0.000, 0.500, 0.000], [0.000, 0.000, 0.500], [0.500, 0.000, 0.000]], "delta_e_f_ev_per_atom": -0.252}

# 2
{"formula": "ScTeOs2", "functional": "SCAN", "state": "PBEsol geometry", "lattice_angstrom": [[-1.249, -1.930, -1.903], [3.329, -3.135, 0.995], [-2.731, -1.709, 3.757]], "species": ["Os", "Os", "Sc", "Te"], "fractional_positions": [[0.837, 0.000, 0.733], [0.163, 0.000, 0.267], [0.500, 0.500, 0.500], [0.000, 0.500, 0.000]], "raw_formation_energy_mev_per_atom": 229}

# 3
{"formula": "LaYAu", "functional": "SCAN", "state": "PBEsol geometry", "lattice_angstrom": [[-2.179, 2.183, 1.856], [-2.397, -0.111, -2.684], [-0.487, -6.091, 3.102]], "species": ["Y", "Au", "La"], "fractional_positions": [[0.366, 0.366, 0.732], [0.986, 0.986, 0.972], [0.648, 0.648, 0.296]], "delta_e_f_ev_per_atom": -0.711}

# 4
{"formula": "Sr2H5Rh", "functional": "SCAN", "state": "PBEsol geometry", "lattice_angstrom": [[5.242, 0.000, 0.000], [-2.621, 4.623, 0.012], [0.000, 2.961, 4.326]], "species": ["Sr", "Sr", "Rh", "H", "H", "H", "H", "H"], "fractional_positions": [[0.748, 0.497, 0.752], [0.248, 0.497, 0.252], [0.008, 0.015, 0.992], [0.768, 0.988, 0.232], [0.220, 0.988, 0.232], [0.768, 0.988, 0.780], [0.220, 0.988, 0.780], [0.242, 0.485, 0.758]], "energy_ev_per_atom": -12.631}

# 5
{"formula": "BaSiAu4", "functional": "SCAN", "state": "PBEsol geometry", "lattice_angstrom": [[-0.778, -1.456, 5.372], [1.204, -5.220, 1.699], [4.431, -0.918, 3.333]], "species": ["Au", "Au", "Au", "Au", "Ba", "Si"], "fractional_positions": [[0.374, 0.374, 0.374], [0.374, 0.374, 0.877], [0.877, 0.374, 0.374], [0.374, 0.877, 0.374], [0.750, 0.750, 0.750], [0.000, 0.000, 0.000]], "raw_formation_energy_mev_per_atom": -122}

# 6
{"formula": "VF5", "functional": "SCAN", "state": "PBEsol geometry", "lattice_angstrom": [[-4.351, 2.348, 1.016], [-1.813, -1.218, -4.949], [-4.975, -11.199, 4.578]], "species": ["V", "V", "V", "V", "F", "F", "F", "F", "F", "F", "F", "F", "F", "F", "F", "F", "F", "F", "F", "F", "F", "F", "F", "F"], "fractional_positions": [[0.306, 0.113, 0.594], [0.806, 0.387, 0.406], [0.194, 0.887, 0.094], [0.694, 0.613, 0.906], [0.595, 0.090, 0.663], [0.119, 0.932, 0.672], [0.220, 0.397, 0.645], [0.514, 0.331, 0.497], [0.394, 0.885, 0.506], [0.894, 0.615, 0.494], [0.014, 0.169, 0.503], [0.720, 0.103, 0.355], [0.619, 0.568, 0.328], [0.095, 0.410, 0.337], [0.905, 0.910, 0.163], [0.381, 0.068, 0.172], [0.280, 0.603, 0.145], [0.986, 0.669, 0.997], [0.106, 0.115, 0.006], [0.606, 0.385, 0.994], [0.486, 0.831, 0.003], [0.780, 0.897, 0.855], [0.881, 0.432, 0.828], [0.405, 0.590, 0.837]], "raw_formation_energy_mev_per_atom": -2823}

Copy entry 1 word for word.
{"formula": "KLi3Pb", "functional": "SCAN", "state": "PBEsol geometry", "lattice_angstrom": [[5.342, 0.000, 0.000], [0.000, 5.342, 0.000], [0.000, 0.000, 5.342]], "species": ["Pb", "K", "Li", "Li", "Li"], "fractional_positions": [[0.000, 0.000, 0.000], [0.500, 0.500, 0.500], [0.000, 0.500, 0.000], [0.000, 0.000, 0.500], [0.500, 0.000, 0.000]], "delta_e_f_ev_per_atom": -0.252}